# 1
DFT (PBEsol) results for an optimized crystal structure of CdAu2.

a b c (Å): 2.988 2.988 6.309
angles (deg): 103.70 103.70 90.00
Fractional coordinates of all 3 atoms:
Au: 0.667 0.667 0.334
Au: 0.333 0.333 0.666
Cd: 0.000 0.000 0.000

Values from the calculation:
E (eV/atom): -3.128
M_tot (μB per formula unit): 0.0
SG: No. 139

# 2
DFT (PBEsol) results for an optimized crystal structure of CdAu2.

a b c (Å): 2.932 7.929 7.929
angles (deg): 120.00 90.00 90.00
Fractional coordinates of all 9 atoms:
Cd: 0.000 0.333 0.667
Cd: 0.500 0.000 0.000
Cd: 0.000 0.667 0.333
Au: 0.000 0.306 0.000
Au: 0.500 0.361 0.361
Au: 0.500 0.639 0.000
Au: 0.000 0.000 0.306
Au: 0.000 0.694 0.694
Au: 0.500 0.000 0.639

Values from the calculation:
E (eV/atom): -3.116
M_tot (μB per formula unit): 0.0
SG: No. 189

# 3
DFT (PBEsol) results for an optimized crystal structure of CdAu4.

a b c (Å): 2.953 4.047 7.679
angles (deg): 105.28 101.08 90.00
Fractional coordinates of all 5 atoms:
Au: 0.299 0.299 0.598
Au: 0.701 0.701 0.402
Au: 0.899 0.899 0.799
Au: 0.101 0.101 0.201
Cd: 0.500 0.500 0.000

Values from the calculation:
E (eV/atom): -3.461
M_tot (μB per formula unit): 0.0
SG: No. 71

# 4
DFT (PBEsol) results for an optimized crystal structure of Cd4Au3.

a b c (Å): 3.570 3.570 10.591
angles (deg): 99.70 99.70 90.00
Fractional coordinates of all 7 atoms:
Cd: 0.852 0.852 0.704
Cd: 0.148 0.148 0.296
Cd: 0.571 0.571 0.141
Cd: 0.429 0.429 0.859
Au: 0.287 0.287 0.574
Au: 0.000 0.000 0.000
Au: 0.713 0.713 0.426

Values from the calculation:
E (eV/atom): -2.484
M_tot (μB per formula unit): 0.0
SG: No. 139
Offset from the most stable computed form (meV/atom): 0.0

# 5
DFT (PBEsol) results for an optimized crystal structure of Cd4Au.

a b c (Å): 4.244 5.225 5.225
angles (deg): 80.51 66.04 66.04
Fractional coordinates of all 5 atoms:
Cd: 0.798 0.600 0.804
Cd: 0.602 0.196 0.600
Cd: 0.398 0.804 0.400
Cd: 0.202 0.400 0.196
Au: 0.000 0.000 0.000

Values from the calculation:
E (eV/atom): -1.810
M_tot (μB per formula unit): 0.0
SG: No. 87

# 6
DFT (PBEsol) results for an optimized crystal structure of Cd4Au.

a b c (Å): 3.415 5.085 6.407
angles (deg): 75.03 74.54 70.38
Fractional coordinates of all 5 atoms:
Cd: 0.592 0.203 0.613
Cd: 0.209 0.390 0.193
Cd: 0.408 0.797 0.387
Cd: 0.791 0.610 0.807
Au: 0.000 0.000 0.000

Values from the calculation:
E (eV/atom): -1.807
M_tot (μB per formula unit): 0.0
SG: No. 12

# 7
DFT (PBEsol) results for an optimized crystal structure of Cd4Au.

a b c (Å): 3.102 3.102 12.004
angles (deg): 82.58 82.58 60.00
Fractional coordinates of all 5 atoms:
Cd: 0.799 0.799 0.604
Cd: 0.201 0.201 0.396
Cd: 0.604 0.604 0.189
Cd: 0.396 0.396 0.811
Au: 0.000 0.000 0.000

Values from the calculation:
E (eV/atom): -1.768
M_tot (μB per formula unit): 0.0
SG: No. 166

# 8
DFT (PBEsol) results for an optimized crystal structure of Cd3Au5.

a b c (Å): 5.295 8.064 8.064
angles (deg): 120.00 90.00 90.00
Fractional coordinates of all 16 atoms:
Au: 0.750 0.000 0.207
Au: 0.750 0.793 0.793
Au: 0.000 0.667 0.333
Au: 0.500 0.333 0.667
Au: 0.750 0.207 0.000
Au: 0.250 0.793 0.000
Au: 0.500 0.667 0.333
Au: 0.250 0.000 0.793
Au: 0.000 0.333 0.667
Au: 0.250 0.207 0.207
Cd: 0.250 0.602 0.602
Cd: 0.250 0.398 0.000
Cd: 0.250 0.000 0.398
Cd: 0.750 0.398 0.398
Cd: 0.750 0.000 0.602
Cd: 0.750 0.602 0.000

Values from the calculation:
E (eV/atom): -2.938
M_tot (μB per formula unit): 0.0
SG: No. 193
Offset from the most stable computed form (meV/atom): 112.9

# 9
DFT (PBEsol) results for an optimized crystal structure of CdAu5.

a b c (Å): 2.914 5.588 6.875
angles (deg): 105.84 90.09 105.38
Fractional coordinates of all 6 atoms:
Au: 0.336 0.670 0.668
Au: 0.387 0.776 0.276
Au: 0.000 0.000 0.003
Au: 0.053 0.110 0.609
Au: 0.669 0.337 0.336
Cd: 0.721 0.441 0.942

Values from the calculation:
E (eV/atom): -3.536
M_tot (μB per formula unit): 0.0
SG: No. 1

# 10
DFT (PBEsol) results for an optimized crystal structure of CdAu2.

a b c (Å): 2.998 4.020 5.105
angles (deg): 113.41 108.29 90.03
Fractional coordinates of all 3 atoms:
Au: 0.332 0.333 0.667
Au: 0.668 0.667 0.333
Cd: 0.000 0.000 0.000

Values from the calculation:
E (eV/atom): -3.152
M_tot (μB per formula unit): 0.0
SG: No. 2

# 11
DFT (PBEsol) results for an optimized crystal structure of Cd5Au4.

a b c (Å): 5.742 8.219 8.219
angles (deg): 120.00 90.00 90.00
Fractional coordinates of all 18 atoms:
Cd: 0.500 0.333 0.667
Cd: 0.750 0.295 0.295
Cd: 0.250 0.000 0.295
Cd: 0.500 0.667 0.333
Cd: 0.250 0.295 0.000
Cd: 0.750 0.000 0.705
Cd: 0.250 0.705 0.705
Cd: 0.000 0.333 0.667
Cd: 0.750 0.705 0.000
Cd: 0.000 0.667 0.333
Au: 0.500 0.000 0.000
Au: 0.750 0.627 0.627
Au: 0.250 0.000 0.627
Au: 0.250 0.373 0.373
Au: 0.250 0.627 0.000
Au: 0.750 0.000 0.373
Au: 0.000 0.000 0.000
Au: 0.750 0.373 0.000

Values from the calculation:
E (eV/atom): -2.561
M_tot (μB per formula unit): 0.0
SG: No. 193
Offset from the most stable computed form (meV/atom): 0.0

# 12
DFT (PBEsol) results for an optimized crystal structure of CdAu3.

a b c (Å): 4.093 4.093 8.804
angles (deg): 103.44 103.44 90.00
Fractional coordinates of all 8 atoms:
Au: 0.877 0.877 0.755
Au: 0.123 0.123 0.245
Au: 0.250 0.750 0.500
Au: 0.500 0.000 0.000
Au: 0.750 0.250 0.500
Au: 0.000 0.500 0.000
Cd: 0.627 0.627 0.254
Cd: 0.373 0.373 0.746

Values from the calculation:
E (eV/atom): -3.379
M_tot (μB per formula unit): 0.0
SG: No. 139